Here is a relaxed HgPb2W crystal from Alexandria. Energies are from GGA-PBE.

Values from the calculation:
**Calculated volume**: 96.1 Å³/cell
**Total energy**: -17.037 eV/cell
**Space group**: C2/m (12)

Structure (POSCAR):
```
HgPb2W
1.0
-4.629 3.035 -6.478
4.896 -2.797 0.453
-0.875 -2.665 -1.307
Pb W Hg
2 1 1
Cartesian
-2.752 0.185 -3.892
0.000 0.000 0.000
2.011 -2.731 -0.427
0.134 0.119 -3.012
```